Compound: BaHf2CdIr
Source: Alexandria
Functional: PBE-GGA
Structure: optimized geometry

Energy relative to the elements: 1161 meV/atom
SG: No. 123

abc: 5.2911 5.1123 5.2911
angles: 90.00 90.00 90.00
Element x y z (fractional)
Ir 0.0000 0.5000 0.0000
Hf 0.0000 0.0000 0.5000
Hf 0.5000 0.0000 0.0000
Ba 0.5000 0.5000 0.5000
Cd 0.0000 0.0000 0.0000

---

Compound: HgPdPb
Source: Alexandria
Functional: PBE-GGA
Structure: optimized geometry

Energy relative to the lowest polymorph listed for this composition: 0.16 eV per formula unit
Energy relative to the elements: -100 meV/atom
SG: No. 107

abc: 3.3434 3.3434 6.5670
angles: 104.75 104.75 90.00
Element x y z (fractional)
Pb 0.0230 0.0230 0.0460
Pd 0.6691 0.6691 0.3381
Hg 0.3079 0.3079 0.6159

---

Calculated E in order - -5.160; -3.168 eV/atom